# 1
## TcIrCl2 (PBE)

Data for an optimized crystal structure of TcIrCl2.

Output
Magnetic moment = 0.00 μB/f.u.
Distance to the lowest polymorph of the same formula = 452 meV/atom
Mass density = 6.9 Mg/m³
Space-group type = Imm2

abc: 2.946 3.410 17.280
angles: 90.00 90.00 90.00
Element x y z (fractional)
Tc 0.000 0.000 0.000
Tc 0.500 0.500 0.500
Ir 0.000 0.500 0.092
Ir 0.500 0.000 0.592
Cl 0.000 0.000 0.411
Cl 0.000 0.500 0.693
Cl 0.500 0.000 0.193
Cl 0.500 0.500 0.911


# 2
## TcIrCl2 (PBE)

Data for an optimized crystal structure of TcIrCl2.

Output
Magnetic moment = 0.00 μB/f.u.
Distance to the lowest polymorph of the same formula = 737 meV/atom
Mass density = 8.9 Mg/m³
Space-group type = R-3m

abc: 2.903 2.903 27.559
angles: 90.00 90.00 120.00
Element x y z (fractional)
Tc 0.000 0.000 0.000
Tc 0.333 0.667 0.667
Tc 0.667 0.333 0.333
Ir 0.000 0.000 0.500
Ir 0.333 0.667 0.167
Ir 0.667 0.333 0.833
Cl 0.000 0.000 0.268
Cl 0.000 0.000 0.732
Cl 0.333 0.667 0.399
Cl 0.333 0.667 0.935
Cl 0.667 0.333 0.065
Cl 0.667 0.333 0.601


# 3
## TcIr2Cl (PBE)

Data for an optimized crystal structure of TcIr2Cl.

Output
Magnetic moment = 0.00 μB/f.u.
Distance to the lowest polymorph of the same formula = 679 meV/atom
Mass density = 14.0 Mg/m³
Space-group type = P4/mmm

abc: 4.729 4.729 2.745
angles: 90.00 90.00 90.00
Element x y z (fractional)
Tc 0.000 0.000 0.000
Ir 0.000 0.500 0.500
Ir 0.500 0.000 0.500
Cl 0.500 0.500 0.000


# 4
## TcIr2Cl (PBE)

Data for an optimized crystal structure of TcIr2Cl.

Output
Magnetic moment = 0.00 μB/f.u.
Distance to the lowest polymorph of the same formula = 52 meV/atom
Mass density = 13.9 Mg/m³
Space-group type = P4/mmm

abc: 2.816 2.816 7.811
angles: 90.00 90.00 90.00
Element x y z (fractional)
Tc 0.000 0.000 0.000
Ir 0.500 0.500 0.229
Ir 0.500 0.500 0.771
Cl 0.000 0.000 0.500


# 5
## Tc2IrCl (PBE)

Data for an optimized crystal structure of Tc2IrCl.

Output
Magnetic moment = 0.00 μB/f.u.
Distance to the lowest polymorph of the same formula = 681 meV/atom
Mass density = 8.7 Mg/m³
Space-group type = I-42d

abc: 5.515 5.515 10.662
angles: 90.00 90.00 90.00
Element x y z (fractional)
Tc 0.240 0.250 0.125
Tc 0.250 0.740 0.375
Tc 0.250 0.760 0.875
Tc 0.260 0.250 0.625
Tc 0.740 0.750 0.625
Tc 0.750 0.240 0.875
Tc 0.750 0.260 0.375
Tc 0.760 0.750 0.125
Ir 0.000 0.000 0.500
Ir 0.000 0.500 0.750
Ir 0.500 0.000 0.250
Ir 0.500 0.500 0.000
Cl 0.000 0.000 0.000
Cl 0.000 0.500 0.250
Cl 0.500 0.000 0.750
Cl 0.500 0.500 0.500


# 6
## TcIr2Cl4 (PBE)

Data for an optimized crystal structure of TcIr2Cl4.

Output
Magnetic moment = 6.49 μB/f.u.
Calculated total energy = -4.27 eV per atom
Mass density = 6.6 Mg/m³
Space-group type = I4/mmm

abc: 5.124 5.124 12.009
angles: 90.00 90.00 90.00
Element x y z (fractional)
Tc 0.000 0.000 0.000
Tc 0.500 0.500 0.500
Ir 0.000 0.000 0.401
Ir 0.000 0.000 0.599
Ir 0.500 0.500 0.099
Ir 0.500 0.500 0.901
Cl 0.000 0.000 0.202
Cl 0.000 0.000 0.798
Cl 0.000 0.500 0.000
Cl 0.000 0.500 0.500
Cl 0.500 0.000 0.000
Cl 0.500 0.000 0.500
Cl 0.500 0.500 0.298
Cl 0.500 0.500 0.702


# 7
## TcIr2Cl (PBE)

Data for an optimized crystal structure of TcIr2Cl.

Output
Magnetic moment = 0.92 μB/f.u.
Distance to the lowest polymorph of the same formula = 274 meV/atom
Mass density = 13.5 Mg/m³
Space-group type = Cmm2

abc: 2.752 4.909 9.439
angles: 90.00 90.00 90.00
Element x y z (fractional)
Tc 0.000 0.000 0.000
Tc 0.500 0.500 0.000
Ir 0.000 0.000 0.486
Ir 0.000 0.500 0.245
Ir 0.500 0.000 0.245
Ir 0.500 0.500 0.486
Cl 0.000 0.500 0.788
Cl 0.500 0.000 0.788


# 8
## TcIr2Cl (PBE)

Data for an optimized crystal structure of TcIr2Cl.

Output
Magnetic moment = 0.42 μB/f.u.
Distance to the lowest polymorph of the same formula = 12 meV/atom
Mass density = 13.5 Mg/m³
Space-group type = R3m

abc: 2.806 2.806 27.953
angles: 90.00 90.00 120.00
Element x y z (fractional)
Tc 0.000 0.000 0.000
Tc 0.333 0.667 0.667
Tc 0.667 0.333 0.333
Ir 0.000 0.000 0.257
Ir 0.000 0.000 0.511
Ir 0.333 0.667 0.177
Ir 0.333 0.667 0.924
Ir 0.667 0.333 0.591
Ir 0.667 0.333 0.844
Cl 0.000 0.000 0.734
Cl 0.333 0.667 0.401
Cl 0.667 0.333 0.067


# 9
## Tc2IrCl (PBE)

Data for an optimized crystal structure of Tc2IrCl.

Output
Magnetic moment = 0.00 μB/f.u.
Distance to the lowest polymorph of the same formula = 272 meV/atom
Mass density = 11.0 Mg/m³
Space-group type = Pmmm

abc: 2.783 3.524 6.504
angles: 90.00 90.00 90.00
Element x y z (fractional)
Tc 0.000 0.000 0.214
Tc 0.000 0.000 0.786
Ir 0.500 0.500 0.000
Cl 0.500 0.500 0.500


# 10
## TcIr2Cl (PBE)

Data for an optimized crystal structure of TcIr2Cl.

Output
Magnetic moment = 0.00 μB/f.u.
Distance to the lowest polymorph of the same formula = 0 meV/atom
Mass density = 14.2 Mg/m³
Space-group type = R-3m

abc: 2.829 2.829 26.294
angles: 90.00 90.00 120.00
Element x y z (fractional)
Tc 0.000 0.000 0.000
Tc 0.333 0.667 0.667
Tc 0.667 0.333 0.333
Ir 0.000 0.000 0.254
Ir 0.000 0.000 0.746
Ir 0.333 0.667 0.413
Ir 0.333 0.667 0.920
Ir 0.667 0.333 0.080
Ir 0.667 0.333 0.587
Cl 0.000 0.000 0.500
Cl 0.333 0.667 0.167
Cl 0.667 0.333 0.833


# 11
## Tc2IrCl (PBE)

Data for an optimized crystal structure of Tc2IrCl.

Output
Magnetic moment = 0.00 μB/f.u.
Distance to the lowest polymorph of the same formula = 632 meV/atom
Mass density = 11.6 Mg/m³
Space-group type = C2/m

abc: 5.125 8.482 2.814
angles: 90.00 98.96 90.00
Element x y z (fractional)
Tc 0.250 0.250 0.000
Tc 0.250 0.750 0.000
Tc 0.750 0.250 0.000
Tc 0.750 0.750 0.000
Ir 0.000 0.000 0.500
Ir 0.500 0.500 0.500
Cl 0.000 0.500 0.500
Cl 0.500 0.000 0.500


# 12
## TcIrCl2 (PBE)

Data for an optimized crystal structure of TcIrCl2.

Output
Magnetic moment = 0.74 μB/f.u.
Distance to the lowest polymorph of the same formula = 1148 meV/atom
Mass density = 8.1 Mg/m³
Space-group type = P4/mmm

abc: 2.874 2.874 8.925
angles: 90.00 90.00 90.00
Element x y z (fractional)
Tc 0.000 0.000 0.000
Ir 0.000 0.000 0.500
Cl 0.500 0.500 0.173
Cl 0.500 0.500 0.827